Entry 1:
The following is a DFT calculation (PBE-GGA) of a relaxed structure of LiLaLuFe.

Lattice parameters (Å, degrees): 7.001 7.001 7.001 90.00 90.00 90.00
Space group F-43m (No. 216)
Symmetry-distinct sites (fractional):
1 Li 0.000 0.000 0.000 (multiplicity 4)
2 La 0.250 0.250 0.250 (multiplicity 4)
3 Lu 0.250 0.250 0.750 (multiplicity 4)
4 Fe 0.000 0.000 0.500 (multiplicity 4)


Entry 2:
The following is a DFT calculation (PBE-GGA) of a relaxed structure of Ac2TbPm.

Summary:
For the energy above the most stable polymorph in this dataset, the calculation gives 3 meV per atom.

Lattice parameters (Å, degrees): 5.443 5.443 5.197 90.00 90.00 90.00
Space group P4/mmm (No. 123)
Symmetry-distinct sites (fractional):
1 Ac 0.000 0.500 0.000 (multiplicity 2)
2 Tb 0.000 0.000 0.500 (multiplicity 1)
3 Pm 0.500 0.500 0.500 (multiplicity 1)


Entry 3:
The following is a DFT calculation (PBE-GGA) of a relaxed structure of Tl2CrTc.

Summary:
For the energy above the most stable polymorph in this dataset, the calculation gives 0 meV per atom.

Lattice parameters (Å, degrees): 3.100 3.069 16.863 90.00 90.00 90.00
Space group Amm2 (No. 38)
Symmetry-distinct sites (fractional):
1 Tl 0.000 0.000 0.000 (multiplicity 2)
2 Tl 0.500 0.000 0.175 (multiplicity 2)
3 Cr 0.000 0.000 0.801 (multiplicity 2)
4 Tc 0.500 0.000 0.372 (multiplicity 2)


Entry 4:
The following is a DFT calculation (PBE-GGA) of a relaxed structure of Tb2HoTc.

Summary:
For the energy above the most stable polymorph in this dataset, the calculation gives 143 meV per atom.

Lattice parameters (Å, degrees): 3.468 3.468 8.820 90.00 90.00 90.00
Space group P4/mmm (No. 123)
Symmetry-distinct sites (fractional):
1 Tb 0.000 0.000 0.188 (multiplicity 2)
2 Ho 0.500 0.500 0.500 (multiplicity 1)
3 Tc 0.500 0.500 0.000 (multiplicity 1)


Entry 5:
The following is a DFT calculation (PBE-GGA) of a relaxed structure of NbV7C2.

Lattice parameters (Å, degrees): 6.351 10.562 4.014 90.00 90.00 90.00
Space group Cmmm (No. 65)
Symmetry-distinct sites (fractional):
1 Nb 0.000 0.000 0.000 (multiplicity 2)
2 V 0.000 0.284 0.000 (multiplicity 4)
3 V 0.000 0.500 0.500 (multiplicity 2)
4 V 0.196 0.136 0.500 (multiplicity 8)
5 C 0.000 0.297 0.500 (multiplicity 4)


Entry 6:
The following is a DFT calculation (PBE-GGA) of a relaxed structure of Ca3Au2.

Summary:
For the energy above the most stable polymorph in this dataset, the calculation gives 0 meV per atom.

Lattice parameters (Å, degrees): 8.001 8.001 4.294 90.00 90.00 90.00
Space group P4/mbm (No. 127)
Symmetry-distinct sites (fractional):
1 Ca 0.000 0.000 0.000 (multiplicity 2)
2 Ca 0.161 0.339 0.500 (multiplicity 4)
3 Au 0.135 0.635 0.000 (multiplicity 4)


Entry 7:
The following is a DFT calculation (PBE-GGA) of a relaxed structure of Sr2HgRu.

Lattice parameters (Å, degrees): 12.356 3.754 5.250 90.00 113.67 90.00
Space group Cm (No. 8)
Symmetry-distinct sites (fractional):
1 Sr 0.000 0.000 0.000 (multiplicity 2)
2 Sr 0.202 0.000 0.693 (multiplicity 2)
3 Hg 0.419 0.000 0.419 (multiplicity 2)
4 Ru 0.240 0.500 0.226 (multiplicity 2)


Entry 8:
The following is a DFT calculation (PBE-GGA) of a relaxed structure of HoThAs2.

Summary:
For the energy above the most stable polymorph in this dataset, the calculation gives 2 meV per atom.

Lattice parameters (Å, degrees): 5.928 5.928 11.803 90.00 90.00 90.00
Space group I4_1/amd (No. 141, origin choice 2)
Symmetry-distinct sites (fractional):
1 Ho 0.000 0.250 0.375 (multiplicity 4)
2 Th 0.000 0.250 0.875 (multiplicity 4)
3 As 0.000 0.250 0.128 (multiplicity 8)


Results for M_tot: 0.8; 0.0; 1.1; 0.0; 0.0; 0.0; 0.0; 0.0 (in μB/f.u., following the order of the records).
Results for density of states at the Fermi level: 1.00; 1.47; 0.56; 1.50; 1.20; 0.64; 0.51; 0.34 (in states/eV/atom, following the order of the records).
Results for uncorrected energy: -4.838; -4.362; -5.763; -6.003; -9.164; -3.224; -3.096; -6.784 (in eV/atom, following the order of the records).